Entry 1:
VASP calculation (SCAN) on a crystal of MnBrN2 relaxed with PBEsol.

## Properties
The energy relative to the elements, uncorrected is 178 kJ/mol of formula units. Its space group is No. 227.

a b c (Å): 5.518 5.518 5.518
angles (deg): 60.00 60.00 60.00
Fractional coordinates of all 8 atoms:
1 Mn 0.125 0.125 0.125
2 Mn 0.875 0.875 0.875
3 Br 0.375 0.375 0.375
4 Br 0.625 0.625 0.625
5 N 0.000 0.000 0.000
6 N 0.000 0.000 0.500
7 N 0.000 0.500 0.000
8 N 0.500 0.000 0.000



Entry 2:
VASP calculation (SCAN) on a crystal of MnBrN2O relaxed with PBEsol.

## Properties
The energy relative to the elements, uncorrected is 743 kJ/mol of formula units. Its space group is No. 123.

a b c (Å): 3.889 3.889 3.834
angles (deg): 90.00 90.00 90.00
Fractional coordinates of all 5 atoms:
1 Mn 0.000 0.000 0.000
2 Br 0.500 0.500 0.500
3 N 0.000 0.500 0.500
4 N 0.500 0.000 0.500
5 O 0.500 0.500 0.000



Entry 3:
VASP calculation (SCAN) on a crystal of MnBrN2O relaxed with PBEsol.

## Properties
The energy relative to the elements, uncorrected is 401 kJ/mol of formula units. Its space group is No. 123.

a b c (Å): 3.813 3.813 3.525
angles (deg): 90.00 90.00 90.00
Fractional coordinates of all 5 atoms:
1 Mn 0.000 0.000 0.000
2 Br 0.500 0.500 0.500
3 N 0.000 0.500 0.000
4 N 0.500 0.000 0.000
5 O 0.000 0.000 0.500



Entry 4:
VASP calculation (SCAN) on a crystal of MnSe2BrN relaxed with PBEsol.

## Properties
The energy relative to the elements, uncorrected is 193 kJ/mol of formula units. Its space group is No. 123.

a b c (Å): 4.908 4.908 3.446
angles (deg): 90.00 90.00 90.00
Fractional coordinates of all 5 atoms:
1 Mn 0.000 0.000 0.000
2 Se 0.000 0.500 0.000
3 Se 0.500 0.000 0.000
4 Br 0.500 0.500 0.500
5 N 0.000 0.000 0.500



Entry 5:
VASP calculation (SCAN) on a crystal of NaMnBr3 relaxed with PBEsol.

## Properties
The energy relative to the elements, uncorrected is -241 kJ/mol of formula units. Its space group is No. 221.

a b c (Å): 5.188 5.188 5.188
angles (deg): 90.00 90.00 90.00
Fractional coordinates of all 5 atoms:
1 Na 0.000 0.000 0.000
2 Mn 0.500 0.500 0.500
3 Br 0.000 0.000 0.500
4 Br 0.000 0.500 0.000
5 Br 0.500 0.000 0.000



Entry 6:
VASP calculation (SCAN) on a crystal of NaMnBr2 relaxed with PBEsol.

## Properties
The energy relative to the elements, uncorrected is -333 kJ/mol of formula units. Its space group is No. 166.

a b c (Å): 9.451 9.451 9.451
angles (deg): 23.07 23.07 23.07
Fractional coordinates of all 4 atoms:
1 Na 0.000 0.000 0.000
2 Mn 0.500 0.500 0.500
3 Br 0.111 0.111 0.111
4 Br 0.889 0.889 0.889